# CeDy4Tm, relaxed, DFT PBE
# crystal system: orthorhombic
# calculated total energy: -27.15 eV per formula unit
# calculated density: 8.4 g/cm3
# ΔH_f (0 K): 278 meV/atom
data_CeDy4Tm
_chemical_formula_sum 'Ce4 Dy16 Tm4'
_cell_length_a 6.604
_cell_length_b 11.461
_cell_length_c 10.043
_cell_angle_alpha 90.00
_cell_angle_beta 90.00
_cell_angle_gamma 90.00
_space_group_name_H-M_alt 'I m m a'
_space_group_IT_number 74
_space_group_name_Hall '-I 2b 2'
loop_
_atom_site_label
_atom_site_type_symbol
_atom_site_fract_x
_atom_site_fract_y
_atom_site_fract_z
Ce1 Ce 0.000 0.000 0.000
Dy1 Dy 0.000 0.002 0.335
Dy2 Dy 0.249 0.250 0.581
Tm1 Tm 0.250 0.250 0.250